Computed, not measured: Sm3Tl4 after structural relaxation at the PBE level of DFT.

## Properties
ΔE to the lowest computed polymorph ... 74.8 meV per atom

Lattice parameters (Å, degrees): 8.1611 8.1611 8.1611 109.47 109.47 109.47
With the nearest neighbours (Å) after each atom.
Positions (direct):
Sm (0.1250, 0.3750, 0.2500)  8 Tl 3.25-3.27
Sm (0.6250, 0.7500, 0.8750)  8 Tl 3.25-3.27
Sm (0.8750, 0.2500, 0.6250)  8 Tl 3.25-3.27
Sm (0.2500, 0.8750, 0.1250)  8 Tl 3.25-3.27
Sm (0.7500, 0.6250, 0.3750)  8 Tl 3.25-3.27
Sm (0.3750, 0.1250, 0.7500)  8 Tl 3.25-3.27
Tl (0.3351, 0.5000, 0.0000)  6 Sm 3.25-3.27, 3 Tl 3.52
Tl (0.5000, 0.3351, 0.5000)  6 Sm 3.25-3.27, 3 Tl 3.52
Tl (0.0000, 0.0000, 0.3351)  6 Sm 3.25-3.27, 3 Tl 3.52
Tl (0.6649, 0.1649, 0.1649)  6 Sm 3.25-3.27, 3 Tl 3.52
Tl (0.0000, 0.0000, 0.8351)  6 Sm 3.25-3.27, 3 Tl 3.52
Tl (0.1649, 0.6649, 0.6649)  6 Sm 3.25-3.27, 3 Tl 3.52
Tl (0.8351, 0.5000, 0.0000)  6 Sm 3.25-3.27, 3 Tl 3.52
Tl (0.5000, 0.8351, 0.5000)  6 Sm 3.25-3.27, 3 Tl 3.52

Computed, not measured: Sm3Tl2 after structural relaxation at the PBE level of DFT.

## Properties
ΔE to the lowest computed polymorph ... 84.7 meV per atom

Lattice parameters (Å, degrees): 6.1948 6.1948 9.1368 109.82 109.82 90.00
With the nearest neighbours (Å) after each atom.
Positions (direct):
Sm (0.1325, 0.8826, 0.2650)  2 Sm 3.10, 2 Tl 3.27-3.28
Sm (0.1324, 0.3825, 0.7650)  2 Sm 3.10, 2 Tl 3.27-3.28
Sm (0.6326, 0.3825, 0.7650)  2 Sm 3.10, 2 Tl 3.27-3.28
Sm (0.1325, 0.3824, 0.2650)  2 Sm 3.10, 2 Tl 3.27-3.28
Sm (0.5074, 0.0074, 0.0148)  6 Tl 3.13-3.22
Sm (0.7574, 0.7574, 0.5148)  6 Tl 3.13-3.22
Tl (0.9524, 0.9524, 0.9048)  5 Sm 3.13-3.28
Tl (0.7024, 0.2024, 0.4048)  5 Sm 3.13-3.28
Tl (0.5624, 0.5624, 0.1247)  5 Sm 3.13-3.27
Tl (0.3124, 0.8124, 0.6247)  5 Sm 3.13-3.27

Computed, not measured: Sm7Tl after structural relaxation at the PBE level of DFT.

Lattice parameters (Å, degrees): 7.1310 7.1310 7.1310 60.00 60.00 60.00
With the nearest neighbours (Å) after each atom.
Positions (direct):
Sm (0.5000, 0.5000, 0.0000)  10 Sm 3.57, 2 Tl 3.57
Sm (0.5000, 0.0000, 0.5000)  10 Sm 3.57, 2 Tl 3.57
Sm (0.0000, 0.5000, 0.5000)  2 Tl 3.57, 10 Sm 3.57
Sm (0.5000, 0.0000, 0.0000)  10 Sm 3.57, 2 Tl 3.57
Sm (0.0000, 0.5000, 0.0000)  10 Sm 3.57, 2 Tl 3.57
Sm (0.0000, 0.0000, 0.5000)  10 Sm 3.57, 2 Tl 3.57
Sm (0.5000, 0.5000, 0.5000)  12 Sm 3.57
Tl (0.0000, 0.0000, 0.0000)  12 Sm 3.57

Computed, not measured: SmTl6 after structural relaxation at the PBE level of DFT.

Lattice parameters (Å, degrees): 7.2284 7.2284 7.2284 109.47 109.47 109.47
With the nearest neighbours (Å) after each atom.
Positions (direct):
Sm (0.0000, 0.0000, 0.0000)  24 Tl 4.67
Tl (0.2500, 0.7500, 0.5000)  4 Tl 2.95
Tl (0.5000, 0.7500, 0.2500)  4 Tl 2.95
Tl (0.2500, 0.5000, 0.7500)  4 Tl 2.95
Tl (0.7500, 0.2500, 0.5000)  4 Tl 2.95
Tl (0.5000, 0.2500, 0.7500)  4 Tl 2.95
Tl (0.7500, 0.5000, 0.2500)  4 Tl 2.95

Computed, not measured: Sm3Tl after structural relaxation at the PBE level of DFT.

Lattice parameters (Å, degrees): 5.5819 3.6087 6.1386 90.00 90.00 90.00
With the nearest neighbours (Å) after each atom.
Positions (direct):
Tl (0.5000, 0.0000, 0.6678)  10 Sm 3.43-3.66, 2 Tl 3.61
Sm (0.0000, 0.0000, 0.9939)  10 Sm 3.41-3.71, 2 Tl 3.43
Sm (0.0000, 0.5000, 0.5218)  8 Sm 3.41-3.71, 4 Tl 3.44
Sm (0.5000, 0.5000, 0.1498)  8 Sm 3.46-3.61, 4 Tl 3.47-3.66

Computed, not measured: Sm3Tl after structural relaxation at the PBE level of DFT.

Lattice parameters (Å, degrees): 3.5986 6.0890 6.6767 117.13 105.63 90.00
With the nearest neighbours (Å) after each atom.
Positions (direct):
Tl (0.0000, 0.0119, 0.0000)  8 Sm 3.31-3.68, 2 Tl 3.60
Sm (0.2722, 0.6138, 0.5444)  3 Tl 3.31-3.68, 9 Sm 3.43-3.66
Sm (0.5000, 0.4715, 0.0000)  2 Tl 3.33, 8 Sm 3.43-3.66
Sm (0.7278, 0.0694, 0.4556)  3 Tl 3.31-3.68, 9 Sm 3.43-3.66

So what do the calculations give for E? Going down the list: -3.660, -3.975, -4.466, -2.162, -4.242, -4.311 eV/atom.